The following is a GGA-PBE calculation of crystalline NiAs2Cl at its relaxed geometry, from Alexandria via LeMat-Bulk.

As for the density of states at the Fermi level: 0.2785 states/eV/atom. The uncorrected formation energy is -57 meV/atom. The value obtained for the density is 4.71 Mg/m³. The value obtained for the energy relative to the lowest polymorph listed for this composition is 0.190 eV per atom.

The structure belongs to space group Cm (No. 8); the cell edges are 13.105, 3.188 and 4.342 Å and the angles 90.00°, 108.42° and 90.00°. The distinct sites, in fractional coordinates, are Ni at (0.000, 0.000, 0.000), As at (0.028, 0.500, 0.449), As at (0.147, 0.500, 0.048) and Cl at (0.362, 0.000, 0.767).



The following is a GGA-PBE calculation of crystalline NiAs2Cl at its relaxed geometry, from Alexandria via LeMat-Bulk.

As for the density of states at the Fermi level: 0.9192 states/eV/atom. The uncorrected formation energy is 237 meV/atom. The value obtained for the density is 5.73 Mg/m³. The value obtained for the energy relative to the lowest polymorph listed for this composition is 0.484 eV per atom.

The structure belongs to space group I4/mmm (No. 139); the cell edges are 5.072, 5.072 and 5.500 Å and the angles 90.00°, 90.00° and 90.00°. The distinct sites, in fractional coordinates, are Ni at (0.000, 0.000, 0.000), As at (0.000, 0.500, 0.000) and Cl at (0.000, 0.000, 0.500).



The following is a GGA-PBE calculation of crystalline NiAsCl at its relaxed geometry, from Alexandria via LeMat-Bulk.

As for the density of states at the Fermi level: 0.7294 states/eV/atom. The uncorrected formation energy is 294 meV/atom. The value obtained for the density is 5.16 Mg/m³. The value obtained for the energy relative to the lowest polymorph listed for this composition is 0.589 eV per atom.

The structure belongs to space group F-43m (No. 216); the cell edges are 6.016, 6.016 and 6.016 Å and the angles 90.00°, 90.00° and 90.00°. The distinct sites, in fractional coordinates, are Ni at (0.000, 0.000, 0.000), As at (0.250, 0.250, 0.250) and Cl at (0.250, 0.250, 0.750).